Compound: YLuTlNi
Source: OQMD via LeMat-Bulk
Functional: PBE-GGA
Structure: relaxed

Calculated values
Raw total energy ... -4.670 eV per atom
ρ ... 10.0 Mg/m³

Cell and atoms, written as POSCAR:
```
YLuTlNi
1.0
0.000 3.527 3.527
3.527 0.000 3.527
3.527 3.527 0.000
Y Lu Tl Ni
1 1 1 1
direct
0.000 0.000 0.000
0.250 0.250 0.250
0.500 0.500 0.500
0.750 0.750 0.750
```